(1)
Material: BaNdNO
Method: DFT, PBE
State: relaxed

```
16
Lattice="7.272 0.000 0.000 0.000 8.557 0.000 0.000 0.000 5.860" Properties=species:S:1:pos:R:3 pbc="T T T"
Ba 0.588 1.163 0.000
Ba 3.048 1.163 2.930
Ba 4.224 7.394 0.000
Ba 6.684 7.394 2.930
Nd 0.628 5.257 5.824
Nd 3.008 5.257 2.894
Nd 4.264 3.300 5.824
Nd 6.644 3.300 2.894
N 0.714 5.160 3.465
N 2.922 5.160 0.535
N 4.350 3.398 3.465
N 6.558 3.398 0.535
O 0.444 1.239 3.182
O 3.192 1.239 0.252
O 4.080 7.318 3.182
O 6.828 7.318 0.252
```

Calculated values
E above lowest polymorph = 0.000 eV per atom
total DFT energy (no corrections) = -6.85 eV/atom



(2)
Material: Ba3NiN3
Method: DFT, PBE
State: relaxed

```
14
Lattice="7.973 0.000 0.000 -3.986 6.905 0.000 0.000 0.000 5.628" Properties=species:S:1:pos:R:3 pbc="T T T"
Ba -0.778 2.507 1.407
Ba -1.426 6.325 1.407
Ba 1.782 1.927 4.221
Ba 2.204 4.977 1.407
Ba 5.412 0.580 4.221
Ba 4.764 4.397 4.221
Ni 0.000 4.603 4.221
Ni 3.986 2.302 1.407
N -0.788 2.995 4.221
N -0.998 6.090 4.221
N 2.200 2.180 1.407
N 1.787 4.724 4.221
N 4.985 0.815 1.407
N 4.775 3.909 1.407
```

Calculated values
total DFT energy (no corrections) = -5.49 eV/atom



(3)
Material: Ba8Ni6N7
Method: DFT, PBE
State: relaxed

```
42
Lattice="4.769 -8.339 0.000 4.769 8.339 0.000 -3.555 0.000 11.560" Properties=species:S:1:pos:R:3 pbc="T T T"
Ba 2.103 6.963 8.670
Ba -0.167 1.503 6.916
Ba 0.955 3.376 10.371
Ba 3.880 4.210 2.890
Ba 1.611 -1.503 1.137
Ba 3.251 3.376 6.968
Ba 2.683 0.538 4.121
Ba 0.905 -0.538 9.901
Ba 5.078 0.538 1.659
Ba 3.301 -0.538 7.438
Ba 2.732 -3.376 4.591
Ba 4.373 1.503 10.423
Ba 2.103 -4.210 8.670
Ba 5.029 -3.376 1.189
Ba 6.150 -1.503 4.643
Ba 3.880 -6.963 2.890
Ni 1.070 3.469 4.246
Ni -1.824 1.322 10.242
Ni 1.995 1.978 1.154
Ni -0.046 -1.322 4.462
Ni 0.217 -1.978 6.934
Ni -0.708 -3.469 10.026
Ni 6.691 3.469 1.534
Ni 5.766 1.978 4.625
Ni 6.030 1.322 7.098
Ni 3.989 -1.978 10.405
Ni 7.807 -1.322 1.318
Ni 4.914 -3.469 7.314
N 0.607 4.170 5.780
N 1.458 2.819 2.635
N 3.880 6.917 2.890
N -0.636 0.950 11.558
N 1.142 -0.950 5.778
N 2.103 1.567 8.670
N -0.319 -2.819 8.415
N 2.385 -4.170 0.000
N 6.303 2.819 3.144
N 3.880 -1.567 2.890
N 4.842 0.950 5.782
N 6.619 -0.950 0.002
N 2.103 -6.917 8.670
N 4.525 -2.819 8.924
```

Calculated values
total DFT energy (no corrections) = -5.55 eV/atom



(4)
Material: Ba2TcNiN6
Method: DFT, PBE
State: relaxed

```
10
Lattice="0.000 4.006 4.006 4.006 0.000 4.006 4.006 4.006 0.000" Properties=species:S:1:pos:R:3 pbc="T T T"
Ba 2.003 2.003 2.003
Ba 6.008 6.008 6.008
Tc 0.000 0.000 0.000
Ni 4.006 4.006 4.006
N 4.006 4.006 1.989
N 4.006 1.989 4.006
N 6.023 4.006 4.006
N 1.989 4.006 4.006
N 4.006 6.023 4.006
N 4.006 4.006 6.023
```

Calculated values
total DFT energy (no corrections) = -6.51 eV/atom



(5)
Material: Ba2TcNiN6
Method: DFT, PBE
State: relaxed

```
10
Lattice="-2.833 2.833 4.009 2.833 -2.833 4.009 2.833 2.833 -4.009" Properties=species:S:1:pos:R:3 pbc="T T T"
Ba 2.833 0.000 2.004
Ba 0.000 2.833 2.004
Tc 0.000 0.000 0.000
Ni 0.000 0.000 4.009
N 4.251 1.404 0.000
N 0.000 0.000 1.993
N 1.404 1.414 0.000
N 1.429 1.419 4.009
N 0.000 0.000 6.025
N -1.419 1.429 4.009
```

Calculated values
total DFT energy (no corrections) = -6.51 eV/atom



(6)
Material: Ba2TcNiN6
Method: DFT, PBE
State: relaxed

```
10
Lattice="4.904 -2.831 0.000 4.904 2.831 0.000 -3.271 0.000 4.624" Properties=species:S:1:pos:R:3 pbc="T T T"
Ba 1.634 0.000 1.156
Ba 4.904 0.000 3.468
Tc -1.635 0.000 2.312
Ni 4.904 0.000 0.000
N 2.454 1.424 3.458
N -0.013 0.000 3.465
N 4.084 1.424 1.166
N 2.454 -1.424 3.458
N 6.552 0.000 1.159
N 4.084 -1.424 1.166
```

Calculated values
total DFT energy (no corrections) = -6.51 eV/atom



(7)
Material: Ba2ZrNiN4
Method: DFT, PBE
State: relaxed

```
8
Lattice="4.007 0.000 0.000 0.000 4.007 0.000 0.000 0.000 8.296" Properties=species:S:1:pos:R:3 pbc="T T T"
Ba 0.000 0.000 0.000
Ba 2.003 2.003 2.678
Zr 2.003 2.003 5.880
Ni 0.000 0.000 4.483
N 0.000 0.000 2.631
N 0.000 2.003 4.979
N 2.003 0.000 4.979
N 2.003 2.003 7.888
```

Calculated values
total DFT energy (no corrections) = -6.87 eV/atom



(8)
Material: BaPaNO
Method: DFT, PBE
State: relaxed

```
8
Lattice="4.233 0.000 0.000 0.000 4.233 0.000 0.000 0.000 8.503" Properties=species:S:1:pos:R:3 pbc="T T T"
Ba 1.058 3.175 0.000
Ba 3.175 1.058 0.000
Pa 1.058 1.058 3.141
Pa 3.175 3.175 5.361
N 1.058 1.058 6.594
N 3.175 3.175 1.908
O 1.058 3.175 4.251
O 3.175 1.058 4.251
```

Calculated values
E above lowest polymorph = 0.929 eV per atom
total DFT energy (no corrections) = -6.59 eV/atom



(9)
Material: BaPaNO
Method: DFT, PBE
State: relaxed

```
8
Lattice="4.845 0.000 0.000 0.000 4.845 0.000 0.000 0.000 8.468" Properties=species:S:1:pos:R:3 pbc="T T T"
Ba 1.211 1.211 0.849
Ba 3.634 3.634 7.619
Pa 1.211 3.634 4.234
Pa 3.634 1.211 4.234
N 1.211 1.211 4.070
N 3.634 3.634 4.398
O 1.211 3.634 0.000
O 3.634 1.211 0.000
```

Calculated values
E above lowest polymorph = 0.000 eV per atom
total DFT energy (no corrections) = -7.52 eV/atom



(10)
Material: BaPaNO
Method: DFT, PBE
State: relaxed

```
8
Lattice="3.299 -3.411 0.000 3.299 3.411 0.000 0.000 0.000 9.757" Properties=species:S:1:pos:R:3 pbc="T T T"
Ba 3.299 1.705 8.772
Ba 3.299 -1.705 0.985
Pa 1.649 0.000 4.878
Pa 4.948 0.000 4.878
N 3.299 1.705 4.533
N 3.299 -1.705 5.224
O 1.649 0.000 0.000
O 4.948 0.000 0.000
```

Calculated values
E above lowest polymorph = 0.467 eV per atom
total DFT energy (no corrections) = -7.05 eV/atom



(11)
Material: BaPaNO
Method: DFT, PBE
State: relaxed

```
8
Lattice="4.124 0.000 0.000 0.000 7.179 0.000 0.000 0.000 6.510" Properties=species:S:1:pos:R:3 pbc="T T T"
Ba 0.000 1.129 0.000
Ba 0.000 6.051 3.255
Pa 2.062 2.447 3.273
Pa 2.062 4.732 0.018
N 0.000 1.582 2.890
N 0.000 5.597 6.145
O 2.062 2.687 5.532
O 2.062 4.493 2.277
```

Calculated values
E above lowest polymorph = 0.057 eV per atom
total DFT energy (no corrections) = -7.46 eV/atom



(12)
Material: BaPdNO
Method: DFT, PBE
State: relaxed

```
16
Lattice="5.868 0.000 0.000 0.000 8.136 0.000 0.000 0.000 5.519" Properties=species:S:1:pos:R:3 pbc="T T T"
Ba 0.239 1.390 0.000
Ba 2.695 1.390 2.760
Ba 3.173 6.746 0.000
Ba 5.628 6.746 2.760
Pd 0.710 4.791 0.078
Pd 2.223 4.791 2.838
Pd 3.644 3.346 0.078
Pd 5.157 3.346 2.838
N 1.000 3.635 3.926
N 1.934 3.635 1.166
N 3.933 4.501 3.926
N 4.868 4.501 1.166
O 0.185 6.912 5.415
O 2.749 6.912 2.655
O 3.119 1.224 5.415
O 5.683 1.224 2.655
```

Calculated values
E above lowest polymorph = 0.023 eV per atom
total DFT energy (no corrections) = -5.74 eV/atom



(13)
Material: BaPdNO
Method: DFT, PBE
State: relaxed

```
8
Lattice="3.741 0.000 0.000 0.000 6.204 0.000 0.000 0.000 6.135" Properties=species:S:1:pos:R:3 pbc="T T T"
Ba 0.000 1.150 0.000
Ba 0.000 5.054 3.067
Pd 1.870 1.908 3.106
Pd 1.870 4.296 0.039
N 0.000 2.114 2.945
N 0.000 4.090 6.012
O 1.870 0.279 4.439
O 1.870 5.925 1.371
```

Calculated values
E above lowest polymorph = 0.000 eV per atom
total DFT energy (no corrections) = -5.76 eV/atom



(14)
Material: BaPdNO
Method: DFT, PBE
State: relaxed

```
8
Lattice="3.985 0.000 0.000 0.000 5.954 0.000 0.000 0.000 6.026" Properties=species:S:1:pos:R:3 pbc="T T T"
Ba 0.000 1.442 0.000
Ba 0.000 4.512 3.013
Pd 1.993 1.308 3.080
Pd 1.993 4.646 0.067
N 1.993 0.086 1.512
N 1.993 5.868 4.525
O 0.000 1.922 3.173
O 0.000 4.032 0.160
```

Calculated values
E above lowest polymorph = 0.192 eV per atom
total DFT energy (no corrections) = -5.57 eV/atom



(15)
Material: BaPdNO
Method: DFT, PBE
State: relaxed

```
8
Lattice="5.028 0.000 0.000 0.000 5.028 0.000 0.000 0.000 5.417" Properties=species:S:1:pos:R:3 pbc="T T T"
Ba 1.257 3.771 0.000
Ba 3.771 1.257 0.000
Pd 1.257 1.257 2.627
Pd 3.771 3.771 2.789
N 1.257 1.257 0.683
N 3.771 3.771 4.734
O 1.257 3.771 2.708
O 3.771 1.257 2.708
```

Calculated values
E above lowest polymorph = 0.687 eV per atom
total DFT energy (no corrections) = -5.07 eV/atom



(16)
Material: BaPdNO
Method: DFT, PBE
State: relaxed

```
8
Lattice="4.185 0.000 0.000 0.000 4.185 0.000 0.000 0.000 9.073" Properties=species:S:1:pos:R:3 pbc="T T T"
Ba 1.046 1.046 1.375
Ba 3.139 3.139 7.698
Pd 1.046 3.139 4.536
Pd 3.139 1.046 4.536
N 1.046 1.046 4.523
N 3.139 3.139 4.549
O 1.046 3.139 0.000
O 3.139 1.046 0.000
```

Calculated values
E above lowest polymorph = 0.118 eV per atom
total DFT energy (no corrections) = -5.64 eV/atom



(17)
Material: BaReNO
Method: DFT, PBE
State: relaxed

```
8
Lattice="4.077 0.000 0.000 0.000 4.077 0.000 0.000 0.000 9.579" Properties=species:S:1:pos:R:3 pbc="T T T"
Ba 1.019 1.019 1.438
Ba 3.057 3.057 8.142
Re 1.019 3.057 4.790
Re 3.057 1.019 4.790
N 1.019 1.019 4.798
N 3.057 3.057 4.782
O 1.019 3.057 0.000
O 3.057 1.019 0.000
```

Calculated values
E above lowest polymorph = 0.278 eV per atom
total DFT energy (no corrections) = -7.53 eV/atom



(18)
Material: BaReNO
Method: DFT, PBE
State: relaxed

```
8
Lattice="5.927 0.000 0.000 0.000 3.851 0.000 0.000 0.000 5.856" Properties=species:S:1:pos:R:3 pbc="T T T"
Ba 1.482 0.000 1.445
Ba 4.445 0.000 4.412
Re 1.482 1.926 4.435
Re 4.445 1.926 1.421
N 1.482 0.000 4.222
N 4.445 0.000 1.634
O 0.000 1.926 0.000
O 2.963 1.926 0.000
```

Calculated values
E above lowest polymorph = 0.126 eV per atom
total DFT energy (no corrections) = -7.68 eV/atom



(19)
Material: BaReNO
Method: DFT, PBE
State: relaxed

```
16
Lattice="5.683 0.000 0.000 0.000 8.367 0.000 0.000 0.000 5.433" Properties=species:S:1:pos:R:3 pbc="T T T"
Ba 0.073 1.314 0.000
Ba 2.768 1.314 2.716
Ba 2.915 7.053 0.000
Ba 5.609 7.053 2.716
Re 0.171 4.802 0.097
Re 2.670 4.802 2.813
Re 3.013 3.566 0.097
Re 5.512 3.566 2.813
N 0.953 4.932 3.735
N 1.888 4.932 1.019
N 3.794 3.436 3.735
N 4.730 3.436 1.019
O 0.063 1.421 2.756
O 2.779 1.421 0.040
O 2.904 6.947 2.756
O 5.620 6.947 0.040
```

Calculated values
E above lowest polymorph = 0.048 eV per atom
total DFT energy (no corrections) = -7.76 eV/atom



(20)
Material: BaReNO
Method: DFT, PBE
State: relaxed

```
8
Lattice="6.043 0.000 0.000 0.000 3.998 0.000 0.000 0.000 5.769" Properties=species:S:1:pos:R:3 pbc="T T T"
Ba 1.511 0.000 1.281
Ba 4.533 0.000 4.488
Re 1.511 1.999 4.004
Re 4.533 1.999 1.765
N 0.000 1.999 2.884
N 3.022 1.999 2.884
O 1.511 0.000 4.349
O 4.533 0.000 1.420
```

Calculated values
E above lowest polymorph = 0.000 eV per atom
total DFT energy (no corrections) = -7.80 eV/atom



(21)
Material: BaReNO
Method: DFT, PBE
State: relaxed

```
16
Lattice="6.440 0.000 0.000 0.000 8.016 0.000 0.000 0.000 6.198" Properties=species:S:1:pos:R:3 pbc="T T T"
Ba 0.033 1.555 0.000
Ba 3.187 1.555 3.099
Ba 3.253 6.461 0.000
Ba 6.408 6.461 3.099
Re 0.013 2.981 3.104
Re 3.207 2.981 0.005
Re 3.234 5.035 3.104
Re 6.427 5.035 0.005
N 0.111 1.210 3.086
N 3.109 1.210 6.185
N 3.332 6.806 3.086
N 6.329 6.806 6.185
O 1.601 4.040 3.111
O 1.619 4.040 0.012
O 4.822 3.975 3.111
O 4.839 3.975 0.012
```

Calculated values
E above lowest polymorph = 0.207 eV per atom
total DFT energy (no corrections) = -7.60 eV/atom